# YAl2Ag3, optimized geometry, DFT GGA-PBE
data_YAl2Ag3
_cell_length_a 4.5313
_cell_length_b 4.5313
_cell_length_c 13.0775
_cell_angle_alpha 90.00
_cell_angle_beta 90.00
_cell_angle_gamma 120.00
_space_group_name_H-M_alt 'P 1'
_space_group_IT_number 1
_space_group_name_Hall 'P 1'
loop_
_atom_site_label
_atom_site_type_symbol
_atom_site_fract_x
_atom_site_fract_y
_atom_site_fract_z
Y1 Y 0.0000 0.0000 0.2500
Y2 Y 0.0000 0.0000 0.7500
Al1 Al 0.3333 0.6667 0.0868
Al2 Al 0.3333 0.6667 0.4132
Al3 Al 0.6667 0.3333 0.5868
Al4 Al 0.6667 0.3333 0.9132
Ag1 Ag 0.0000 0.0000 0.0000
Ag2 Ag 0.0000 0.0000 0.5000
Ag3 Ag 0.3333 0.6667 0.6288
Ag4 Ag 0.3333 0.6667 0.8712
Ag5 Ag 0.6667 0.3333 0.1288
Ag6 Ag 0.6667 0.3333 0.3712
# Space group: P6_3/mmc (194)

# Y3Al4Ag2, optimized geometry, DFT GGA-PBE
data_Y3Al4Ag2
_cell_length_a 5.8449
_cell_length_b 5.8449
_cell_length_c 8.6814
_cell_angle_alpha 112.50
_cell_angle_beta 112.50
_cell_angle_gamma 46.47
_space_group_name_H-M_alt 'P 1'
_space_group_IT_number 1
_space_group_name_Hall 'P 1'
loop_
_atom_site_label
_atom_site_type_symbol
_atom_site_fract_x
_atom_site_fract_y
_atom_site_fract_z
Y1 Y 0.0000 0.0000 0.0000
Y2 Y 0.3277 0.3277 0.3420
Y3 Y 0.6723 0.6723 0.6580
Al1 Al 0.0306 0.0306 0.3671
Al2 Al 0.2624 0.2624 0.9268
Al3 Al 0.7376 0.7376 0.0732
Al4 Al 0.9694 0.9694 0.6329
Ag1 Ag 0.3996 0.3996 0.7310
Ag2 Ag 0.6004 0.6004 0.2690
# Space group: C2/m (12)

# YAl2Ag2, optimized geometry, DFT GGA-PBE
data_YAl2Ag2
_cell_length_a 8.1173
_cell_length_b 8.1173
_cell_length_c 2.9332
_cell_angle_alpha 90.00
_cell_angle_beta 90.00
_cell_angle_gamma 90.00
_space_group_name_H-M_alt 'P 1'
_space_group_IT_number 1
_space_group_name_Hall 'P 1'
loop_
_atom_site_label
_atom_site_type_symbol
_atom_site_fract_x
_atom_site_fract_y
_atom_site_fract_z
Y1 Y 0.0000 0.0000 0.0000
Y2 Y 0.5000 0.5000 0.0000
Al1 Al 0.1670 0.3330 0.5000
Al2 Al 0.3330 0.8330 0.5000
Al3 Al 0.6670 0.1670 0.5000
Al4 Al 0.8330 0.6670 0.5000
Ag1 Ag 0.1288 0.6288 0.0000
Ag2 Ag 0.3712 0.1288 0.0000
Ag3 Ag 0.6288 0.8712 0.0000
Ag4 Ag 0.8712 0.3712 0.0000
# Space group: P4/mbm (127)

# YAlAg3, optimized geometry, DFT GGA-PBE
data_YAlAg3
_cell_length_a 5.8302
_cell_length_b 5.8793
_cell_length_c 6.7463
_cell_angle_alpha 90.00
_cell_angle_beta 115.57
_cell_angle_gamma 90.00
_space_group_name_H-M_alt 'P 1'
_space_group_IT_number 1
_space_group_name_Hall 'P 1'
loop_
_atom_site_label
_atom_site_type_symbol
_atom_site_fract_x
_atom_site_fract_y
_atom_site_fract_z
Y1 Y 0.2487 0.2500 0.4953
Y2 Y 0.7513 0.7500 0.5047
Al1 Al 0.1319 0.7500 0.2658
Al2 Al 0.8681 0.2500 0.7342
Ag1 Ag 0.2527 0.0001 0.0009
Ag2 Ag 0.2527 0.4999 0.0009
Ag3 Ag 0.3392 0.7500 0.6808
Ag4 Ag 0.6608 0.2500 0.3192
Ag5 Ag 0.7473 0.9999 0.9991
Ag6 Ag 0.7473 0.5001 0.9991
# Space group: P2_1/m (11)
# ΔE to the lowest computed polymorph in meV per atom: 40

# Y2Al5Ag3, optimized geometry, DFT GGA-PBE
data_Y2Al5Ag3
_cell_length_a 8.7062
_cell_length_b 8.7062
_cell_length_c 8.7062
_cell_angle_alpha 100.59
_cell_angle_beta 93.18
_cell_angle_gamma 139.54
_space_group_name_H-M_alt 'P 1'
_space_group_IT_number 1
_space_group_name_Hall 'P 1'
loop_
_atom_site_label
_atom_site_type_symbol
_atom_site_fract_x
_atom_site_fract_y
_atom_site_fract_z
Y1 Y 0.1279 0.2446 0.3725
Y2 Y 0.3721 0.7446 0.1168
Y3 Y 0.6279 0.2554 0.8832
Y4 Y 0.8721 0.7554 0.6275
Al1 Al 0.0051 0.7500 0.2551
Al2 Al 0.1181 0.6435 0.7616
Al3 Al 0.2500 0.2500 0.0000
Al4 Al 0.3819 0.1435 0.5254
Al5 Al 0.4949 0.7500 0.7449
Al6 Al 0.5051 0.2500 0.2551
Al7 Al 0.6181 0.8565 0.4746
Al8 Al 0.7500 0.7500 0.0000
Al9 Al 0.8819 0.3565 0.2384
Al10 Al 0.9949 0.2500 0.7449
Ag1 Ag 0.1276 0.8667 0.9943
Ag2 Ag 0.2500 0.7500 0.5000
Ag3 Ag 0.3724 0.3667 0.7391
Ag4 Ag 0.6276 0.6333 0.2609
Ag5 Ag 0.7500 0.2500 0.5000
Ag6 Ag 0.8724 0.1333 0.0057
# Space group: Ibam (72)

# YAl2Ag9, optimized geometry, DFT GGA-PBE
data_YAl2Ag9
_cell_length_a 8.7736
_cell_length_b 8.7736
_cell_length_c 8.7736
_cell_angle_alpha 99.36
_cell_angle_beta 99.36
_cell_angle_gamma 132.44
_space_group_name_H-M_alt 'P 1'
_space_group_IT_number 1
_space_group_name_Hall 'P 1'
loop_
_atom_site_label
_atom_site_type_symbol
_atom_site_fract_x
_atom_site_fract_y
_atom_site_fract_z
Y1 Y 0.3750 0.6250 0.7500
Y2 Y 0.6250 0.3750 0.2500
Al1 Al 0.0000 0.0000 0.0000
Al2 Al 0.0000 0.0000 0.5000
Al3 Al 0.0000 0.5000 0.0000
Al4 Al 0.5000 0.0000 0.5000
Ag1 Ag 0.1251 0.5569 0.3250
Ag2 Ag 0.1251 0.8001 0.5681
Ag3 Ag 0.1250 0.8750 0.2500
Ag4 Ag 0.1999 0.2680 0.3250
Ag5 Ag 0.1999 0.8749 0.9319
Ag6 Ag 0.2680 0.1999 0.8250
Ag7 Ag 0.2680 0.4431 0.0681
Ag8 Ag 0.4431 0.2680 0.5681
Ag9 Ag 0.4431 0.8749 0.1750
Ag10 Ag 0.5569 0.1251 0.8250
Ag11 Ag 0.5569 0.7320 0.4319
Ag12 Ag 0.7320 0.5569 0.9319
Ag13 Ag 0.7320 0.8001 0.1750
Ag14 Ag 0.8001 0.1251 0.0681
Ag15 Ag 0.8001 0.7320 0.6750
Ag16 Ag 0.8750 0.1250 0.7500
Ag17 Ag 0.8749 0.1999 0.4319
Ag18 Ag 0.8749 0.4431 0.6750
# Space group: I4_1/amd (141)

# YAlAg2, optimized geometry, DFT GGA-PBE
data_YAlAg2
_cell_length_a 4.4257
_cell_length_b 4.4257
_cell_length_c 4.2767
_cell_angle_alpha 90.00
_cell_angle_beta 90.00
_cell_angle_gamma 90.00
_space_group_name_H-M_alt 'P 1'
_space_group_IT_number 1
_space_group_name_Hall 'P 1'
loop_
_atom_site_label
_atom_site_type_symbol
_atom_site_fract_x
_atom_site_fract_y
_atom_site_fract_z
Y1 Y 0.0000 0.0000 0.0000
Al1 Al 0.5000 0.5000 0.0000
Ag1 Ag 0.0000 0.5000 0.5000
Ag2 Ag 0.5000 0.0000 0.5000
# Space group: P4/mmm (123)

# Y7Al2Ag2, optimized geometry, DFT GGA-PBE
data_Y7Al2Ag2
_cell_length_a 6.7677
_cell_length_b 6.7677
_cell_length_c 7.3684
_cell_angle_alpha 90.00
_cell_angle_beta 90.00
_cell_angle_gamma 109.16
_space_group_name_H-M_alt 'P 1'
_space_group_IT_number 1
_space_group_name_Hall 'P 1'
loop_
_atom_site_label
_atom_site_type_symbol
_atom_site_fract_x
_atom_site_fract_y
_atom_site_fract_z
Y1 Y 0.0000 0.0000 0.0000
Y2 Y 0.0000 0.5000 0.2791
Y3 Y 0.0000 0.5000 0.7209
Y4 Y 0.5000 0.0000 0.2791
Y5 Y 0.5000 0.0000 0.7209
Y6 Y 0.5000 0.5000 0.2653
Y7 Y 0.5000 0.5000 0.7347
Al1 Al 0.1679 0.1679 0.5000
Al2 Al 0.8321 0.8321 0.5000
Ag1 Ag 0.2930 0.7070 0.0000
Ag2 Ag 0.7070 0.2930 0.0000
# Space group: Cmmm (65)

# YAlAg2, optimized geometry, DFT GGA-PBE
data_YAlAg2
_cell_length_a 4.8316
_cell_length_b 4.8316
_cell_length_c 6.9278
_cell_angle_alpha 90.00
_cell_angle_beta 90.00
_cell_angle_gamma 90.00
_space_group_name_H-M_alt 'P 1'
_space_group_IT_number 1
_space_group_name_Hall 'P 1'
loop_
_atom_site_label
_atom_site_type_symbol
_atom_site_fract_x
_atom_site_fract_y
_atom_site_fract_z
Y1 Y 0.0000 0.0000 0.0000
Y2 Y 0.5000 0.5000 0.5000
Al1 Al 0.0000 0.5000 0.2500
Al2 Al 0.5000 0.0000 0.7500
Ag1 Ag 0.0000 0.0000 0.5000
Ag2 Ag 0.0000 0.5000 0.7500
Ag3 Ag 0.5000 0.0000 0.2500
Ag4 Ag 0.5000 0.5000 0.0000
# Space group: I-4m2 (119)

# Y3AlAg2, optimized geometry, DFT GGA-PBE
data_Y3AlAg2
_cell_length_a 3.6071
_cell_length_b 3.6071
_cell_length_c 11.0800
_cell_angle_alpha 90.00
_cell_angle_beta 90.00
_cell_angle_gamma 90.00
_space_group_name_H-M_alt 'P 1'
_space_group_IT_number 1
_space_group_name_Hall 'P 1'
loop_
_atom_site_label
_atom_site_type_symbol
_atom_site_fract_x
_atom_site_fract_y
_atom_site_fract_z
Y1 Y 0.0000 0.0000 0.0000
Y2 Y 0.0000 0.0000 0.3349
Y3 Y 0.0000 0.0000 0.6651
Al1 Al 0.5000 0.5000 0.5000
Ag1 Ag 0.5000 0.5000 0.1701
Ag2 Ag 0.5000 0.5000 0.8299
# Space group: P4/mmm (123)

# YAl3Ag10, optimized geometry, DFT GGA-PBE
data_YAl3Ag10
_cell_length_a 9.2211
_cell_length_b 9.2211
_cell_length_c 9.2211
_cell_angle_alpha 60.00
_cell_angle_beta 60.00
_cell_angle_gamma 60.00
_space_group_name_H-M_alt 'P 1'
_space_group_IT_number 1
_space_group_name_Hall 'P 1'
loop_
_atom_site_label
_atom_site_type_symbol
_atom_site_fract_x
_atom_site_fract_y
_atom_site_fract_z
Y1 Y 0.2500 0.2500 0.2500
Y2 Y 0.7500 0.7500 0.7500
Al1 Al 0.2366 0.2366 0.7634
Al2 Al 0.2366 0.7634 0.2366
Al3 Al 0.2366 0.7634 0.7634
Al4 Al 0.7634 0.2366 0.2366
Al5 Al 0.7634 0.2366 0.7634
Al6 Al 0.7634 0.7634 0.2366
Ag1 Ag 0.1177 0.1177 0.1177
Ag2 Ag 0.1177 0.1177 0.6470
Ag3 Ag 0.1177 0.6470 0.1177
Ag4 Ag 0.1530 0.5000 0.5000
Ag5 Ag 0.1530 0.5000 0.8470
Ag6 Ag 0.1530 0.8470 0.5000
Ag7 Ag 0.3530 0.8823 0.8823
Ag8 Ag 0.5000 0.1530 0.5000
Ag9 Ag 0.5000 0.1530 0.8470
Ag10 Ag 0.5000 0.5000 0.1530
Ag11 Ag 0.5000 0.5000 0.8470
Ag12 Ag 0.5000 0.8470 0.1530
Ag13 Ag 0.5000 0.8470 0.5000
Ag14 Ag 0.6470 0.1177 0.1177
Ag15 Ag 0.8470 0.1530 0.5000
Ag16 Ag 0.8470 0.5000 0.1530
Ag17 Ag 0.8470 0.5000 0.5000
Ag18 Ag 0.8823 0.3530 0.8823
Ag19 Ag 0.8823 0.8823 0.3530
Ag20 Ag 0.8823 0.8823 0.8823
# Space group: Fm-3m (225)

# Y3Al8Ag, optimized geometry, DFT GGA-PBE
data_Y3Al8Ag
_cell_length_a 9.5330
_cell_length_b 9.5330
_cell_length_c 9.5330
_cell_angle_alpha 33.75
_cell_angle_beta 33.75
_cell_angle_gamma 33.75
_space_group_name_H-M_alt 'P 1'
_space_group_IT_number 1
_space_group_name_Hall 'P 1'
loop_
_atom_site_label
_atom_site_type_symbol
_atom_site_fract_x
_atom_site_fract_y
_atom_site_fract_z
Y1 Y 0.0000 0.0000 0.0000
Y2 Y 0.1289 0.1289 0.1289
Y3 Y 0.5091 0.5091 0.5091
Al1 Al 0.0660 0.0660 0.5622
Al2 Al 0.0660 0.5622 0.0660
Al3 Al 0.0687 0.5645 0.5645
Al4 Al 0.3152 0.3152 0.3152
Al5 Al 0.5622 0.0660 0.0660
Al6 Al 0.5645 0.0687 0.5645
Al7 Al 0.5645 0.5645 0.0687
Al8 Al 0.8154 0.8154 0.8154
Ag1 Ag 0.6378 0.6378 0.6378
# Space group: R3m (160)

Number 1: energy of formation from the pure elements -0.25 eV per atom. Number 2: energy of formation from the pure elements -0.46 eV per atom. Number 3: energy of formation from the pure elements -0.15 eV per atom. Number 4: energy of formation from the pure elements -0.20 eV per atom. Number 5: energy of formation from the pure elements -0.35 eV per atom. Number 6: energy of formation from the pure elements -0.09 eV per atom. Number 7: energy of formation from the pure elements -0.18 eV per atom. Number 8: energy of formation from the pure elements 0.01 eV per atom. Number 9: energy of formation from the pure elements -0.23 eV per atom. Number 10: energy of formation from the pure elements -0.37 eV per atom. Number 11: energy of formation from the pure elements 0.03 eV per atom. Number 12: energy of formation from the pure elements -0.36 eV per atom.